No. 1
Below is crystalline Sc2Tl2Pb at its relaxed geometry, with properties calculated at the PBE level.

Lattice parameters (Å, degrees): 8.5486 8.5486 3.5281 90.00 90.00 90.00
Fractional positions:
Pb  0.0000  0.0000  0.0000
Pb  0.5000  0.5000  0.0000
Sc  0.1741  0.6741  0.5000
Sc  0.6741  0.8259  0.5000
Sc  0.8259  0.3259  0.5000
Sc  0.3259  0.1741  0.5000
Tl  0.3730  0.8730  0.0000
Tl  0.8730  0.6270  0.0000
Tl  0.6270  0.1270  0.0000
Tl  0.1270  0.3730  0.0000

Summary:
**ΔE to the lowest computed polymorph**: 0 meV per atom



No. 2
Below is crystalline Sc6Tl2Pb at its relaxed geometry, with properties calculated at the PBE level.

Lattice parameters (Å, degrees): 4.6858 9.5975 9.5989 90.00 90.00 90.00
Fractional positions:
Sc  0.0000  0.0178  0.1677
Sc  0.0000  0.6678  0.5182
Sc  0.0000  0.6369  0.8635
Sc  0.5000  0.1369  0.6365
Sc  0.5000  0.1678  0.9818
Sc  0.5000  0.5179  0.3322
Sc  0.0000  0.9822  0.8323
Sc  0.0000  0.3322  0.4818
Sc  0.0000  0.3631  0.1365
Sc  0.5000  0.8631  0.3635
Sc  0.5000  0.8322  0.0182
Sc  0.5000  0.4821  0.6678
Tl  0.0000  0.2990  0.7986
Tl  0.5000  0.7989  0.7015
Tl  0.5000  0.2011  0.2985
Tl  0.0000  0.7010  0.2014
Pb  0.5000  0.5000  0.0000
Pb  0.0000  0.0000  0.5000



No. 3
Below is crystalline ScTlPb at its relaxed geometry, with properties calculated at the PBE level.

Lattice parameters (Å, degrees): 4.3263 5.9113 6.7040 102.72 90.04 111.42
Fractional positions:
Sc  0.8575  0.7152  0.1801
Sc  0.1425  0.2848  0.8199
Tl  0.8161  0.6314  0.6838
Tl  0.1839  0.3686  0.3162
Pb  0.5000  0.0000  0.0000
Pb  0.5000  0.0000  0.5000

Summary:
**ΔE to the lowest computed polymorph**: 39 meV per atom



No. 4
Below is crystalline ScTlPb4 at its relaxed geometry, with properties calculated at the PBE level.

Lattice parameters (Å, degrees): 6.4516 6.4516 6.4516 60.00 60.00 60.00
Fractional positions:
Sc  0.7500  0.7500  0.7500
Tl  0.0000  0.0000  0.0000
Pb  0.8720  0.3760  0.3760
Pb  0.3760  0.3760  0.8720
Pb  0.3760  0.8720  0.3760
Pb  0.3760  0.3760  0.3760



No. 5
Below is crystalline ScTlPb2 at its relaxed geometry, with properties calculated at the PBE level.

Lattice parameters (Å, degrees): 5.4364 5.4364 5.4364 60.00 60.00 60.00
Fractional positions:
Pb  0.0000  0.0000  0.0000
Pb  0.2500  0.2500  0.2500
Sc  0.5000  0.5000  0.5000
Tl  0.7500  0.7500  0.7500



No. 6
Below is crystalline ScTlPb2 at its relaxed geometry, with properties calculated at the PBE level.

Lattice parameters (Å, degrees): 3.5109 3.5105 9.2472 90.00 90.00 90.01
Fractional positions:
Pb  0.0000  0.0000  0.0295
Pb  0.0000  0.0000  0.4705
Sc  0.5000  0.5000  0.2500
Tl  0.5000  0.5000  0.7500



No. 7
Below is crystalline Sc2TlPb2 at its relaxed geometry, with properties calculated at the PBE level.

Lattice parameters (Å, degrees): 5.1264 5.1264 6.9530 68.37 68.37 90.00
Fractional positions:
Pb  0.3745  0.3745  0.2510
Pb  0.6255  0.6255  0.7490
Sc  0.7500  0.2500  0.5000
Sc  0.2500  0.7500  0.5000
Tl  0.0000  0.0000  0.0000

Summary:
**ΔE to the lowest computed polymorph**: 233 meV per atom



No. 8
Below is crystalline Sc5TlPb4 at its relaxed geometry, with properties calculated at the PBE level.

Lattice parameters (Å, degrees): 6.0545 7.2830 7.2830 80.05 65.44 65.44
Fractional positions:
Sc  0.8687  0.4115  0.7758
Sc  0.2801  0.7758  0.5885
Sc  0.6445  0.2242  0.4115
Sc  0.0560  0.5885  0.2242
Sc  0.6522  0.0000  0.0000
Tl  0.1476  0.0000  0.0000
Pb  0.3580  0.3905  0.8242
Pb  0.7484  0.8242  0.6095
Pb  0.1821  0.1758  0.3905
Pb  0.5726  0.6095  0.1758



| no. | formation energy (kJ per mole of atoms) | DOS at the Fermi energy (states/eV/atom) |
| --- | --- | --- |
| 1 | -13.40 | 0.44 |
| 2 | -21.83 | 1.34 |
| 3 | -15.16 | 0.62 |
| 4 | 14.98 | 0.96 |
| 5 | 3.12 | 1.09 |
| 6 | -12.33 | 0.73 |
| 7 | 1.81 | 0.83 |
| 8 | -16.77 | 0.79 |